[1]
TbGdTlNi2: optimized geometry, PBE.

Unit cell a=3.699 b=3.896 c=14.552 alpha=90.00 beta=90.00 gamma=90.00
Space group Amm2 (No. 38)
Inequivalent atoms, fractional coordinates:
Tb1 0.000 0.000 0.000 x2
Gd1 0.000 0.000 0.721 x2
Tl1 0.500 0.000 0.360 x2
Ni1 0.500 0.000 0.160 x2
Ni2 0.500 0.000 0.561 x2

=====

[2]
Na9Pt2: optimized geometry, PBE.

Unit cell a=10.281 b=10.281 c=21.231 alpha=90.00 beta=90.00 gamma=90.00
Space group I4_1/amd (No. 141, origin choice 2)
Inequivalent atoms, fractional coordinates:
Na1 0.000 0.036 0.352 x16
Na2 0.000 0.072 0.064 x16
Na3 0.000 0.092 0.809 x16
Na4 0.000 0.250 0.188 x8
Na5 0.171 0.000 0.500 x16
Pt1 0.233 0.017 0.875 x16

=====

[3]
Pr2Sn2PtAu3: optimized geometry, PBE.

Unit cell a=4.7682 b=4.7682 c=9.4775 alpha=90.00 beta=90.00 gamma=120.00
Space group P3m1 (No. 156)
Inequivalent atoms, fractional coordinates:
Pr1 0.0000 0.0000 0.0000 x1
Pr2 0.3333 0.6667 0.5019 x1
Sn1 0.6667 0.3333 0.2538 x1
Sn2 0.6667 0.3333 0.7720 x1
Pt1 0.3333 0.6667 0.8348 x1
Au1 0.0000 0.0000 0.3551 x1
Au2 0.0000 0.0000 0.6631 x1
Au3 0.3333 0.6667 0.1498 x1

=====

[4]
Li3OsO4: optimized geometry, PBE.

Unit cell a=4.924 b=11.792 c=5.123 alpha=90.00 beta=107.13 gamma=90.00
Space group P2 (No. 3)
Inequivalent atoms, fractional coordinates:
Li1 0.000 0.000 0.000 x1
Li2 0.000 0.092 0.500 x1
Li3 0.000 0.234 0.000 x1
Li4 0.000 0.364 0.500 x1
Li5 0.000 0.474 0.000 x1
Li6 0.000 0.760 0.000 x1
Li7 0.000 0.888 0.500 x1
Li8 0.500 0.094 0.000 x1
Li9 0.500 0.366 0.000 x1
Li10 0.500 0.615 0.000 x1
Li11 0.500 0.887 0.000 x1
Li12 0.500 0.983 0.500 x1
Os1 0.000 0.614 0.500 x1
Os2 0.500 0.236 0.500 x1
Os3 0.500 0.504 0.500 x1
Os4 0.500 0.730 0.500 x1
O1 0.226 0.611 0.218 x2
O2 0.242 0.990 0.759 x2
O3 0.246 0.493 0.748 x2
O4 0.250 0.729 0.749 x2
O5 0.265 0.132 0.268 x2
O6 0.268 0.251 0.729 x2
O7 0.275 0.377 0.277 x2
O8 0.279 0.841 0.281 x2

Values from the calculation:
energy above the most stable polymorph in this dataset	0.102	eV per atom

=====

[5]
Li2Mg2Al2CuNi: optimized geometry, PBE.

Unit cell a=4.334 b=4.334 c=6.146 alpha=90.00 beta=90.00 gamma=90.00
Space group P-4m2 (No. 115)
Inequivalent atoms, fractional coordinates:
Li1 0.000 0.000 0.000 x1
Li2 0.500 0.500 0.500 x1
Mg1 0.000 0.500 0.244 x2
Al1 0.000 0.500 0.761 x2
Cu1 0.000 0.000 0.500 x1
Ni1 0.500 0.500 0.000 x1

=====

[6]
KLuMgSe3: optimized geometry, PBE.

Unit cell a=4.171 b=15.022 c=10.988 alpha=90.00 beta=90.00 gamma=90.00
Space group Cmcm (No. 63)
Inequivalent atoms, fractional coordinates:
K1 0.000 0.247 0.250 x4
Lu1 0.000 0.500 0.000 x4
Mg1 0.000 0.034 0.750 x4
Se1 0.000 0.123 0.554 x8
Se2 0.000 0.433 0.750 x4

Values from the calculation:
energy above the most stable polymorph in this dataset	0.000	eV per atom

=====

| no. | density (g/cm³) | total energy (eV per cell) |
| --- | --- | --- |
| 1 | 10.10 | -50.24 |
| 2 | 3.53 | -194.50 |
| 3 | 11.61 | -39.37 |
| 4 | 6.43 | -194.70 |
| 5 | 3.43 | -25.73 |
| 6 | 4.58 | -107.37 |